VASP calculation (PBE) on crystalline Pu2ZrN4 at its relaxed geometry.

Structure (POSCAR):
```
Pu2ZrN4
1.0
-4.002 1.442 4.398
5.044 -2.336 2.559
1.498 4.999 -3.196
Pu Zr N
4 2 8
Cartesian
-2.209 3.434 2.579 Pu
0.840 2.957 1.253 Pu
4.122 2.281 1.483 Pu
2.325 -0.463 2.207 Pu
0.000 0.000 0.000 Zr
-0.105 1.163 3.779 Zr
4.470 -0.028 1.567 N
2.002 1.674 3.095 N
0.306 3.701 3.609 N
1.570 4.194 -1.070 N
1.255 -0.825 4.694 N
-0.429 4.915 1.130 N
-0.964 1.648 1.730 N
1.947 1.140 0.289 N
```

## Properties
raw total energy = -78.7 eV/f.u.
raw formation energy = -113.3 kJ per mole of atoms
space group = I-42d, No. 122